(1)
This record from Alexandria via LeMat-Bulk describes H6Pd8Au after structural relaxation. The functional is PBE.

* electronic total energy: -4.4008 eV per atom

a = 7.9664 Å, b = 7.9664 Å, c = 2.8863 Å
α = 90.00°, β = 90.00°, γ = 120.00°
Space group P-3 (No. 147)
Symmetry-distinct sites (fractional):
H 0.1453 0.4409 0.1827 (multiplicity 6)
Pd 0.0194 0.6778 0.3155 (multiplicity 6)
Pd 0.3333 0.6667 0.8727 (multiplicity 2)
Au 0.0000 0.0000 0.0000 (multiplicity 1)

(2)
This record from Alexandria via LeMat-Bulk describes H2Pd4Au3 after structural relaxation. The functional is PBE.

* electronic total energy: -4.2424 eV per atom

a = 2.9153 Å, b = 6.4451 Å, c = 7.2485 Å
α = 112.13°, β = 90.07°, γ = 103.05°
Space group P-1 (No. 2)
Symmetry-distinct sites (fractional):
H 0.2104 0.4216 0.3726 (multiplicity 2)
Pd 0.2129 0.4258 0.1325 (multiplicity 2)
Pd 0.3626 0.7253 0.5719 (multiplicity 2)
Au 0.0753 0.1505 0.7155 (multiplicity 2)
Au 0.5000 0.0000 0.0000 (multiplicity 1)

(3)
This record from Alexandria via LeMat-Bulk describes HPd3Au after structural relaxation. The functional is PBE.

* energy above the lowest structure with this stoichiometry: 0.6061 eV/atom

a = 5.3402 Å, b = 5.3402 Å, c = 13.1644 Å
α = 90.00°, β = 90.00°, γ = 120.00°
Space group R3m (No. 160, hexagonal axes)
Symmetry-distinct sites (fractional):
H 0.0000 0.0000 0.0000 (multiplicity 3)
Pd 0.1680 0.3359 0.0706 (multiplicity 9)
Au 0.0000 0.0000 0.2363 (multiplicity 3)

(4)
This record from Alexandria via LeMat-Bulk describes H2Pd5Au5 after structural relaxation. The functional is PBE.

* electronic total energy: -4.1901 eV per atom

a = 12.6117 Å, b = 2.9185 Å, c = 9.6322 Å
α = 90.00°, β = 101.65°, γ = 90.00°
Space group C2/m (No. 12)
Symmetry-distinct sites (fractional):
H 0.0238 0.0000 0.3194 (multiplicity 4)
Pd 0.0000 0.0000 0.5000 (multiplicity 2)
Pd 0.1028 0.0000 0.8046 (multiplicity 4)
Pd 0.1063 0.5000 0.2983 (multiplicity 4)
Au 0.0000 0.5000 0.0000 (multiplicity 2)
Au 0.1960 0.5000 0.5993 (multiplicity 4)
Au 0.2013 0.0000 0.1010 (multiplicity 4)

(5)
This record from Alexandria via LeMat-Bulk describes HPd3Au after structural relaxation. The functional is PBE.

* energy above the lowest structure with this stoichiometry: 0.0357 eV/atom

a = 11.1467 Å, b = 9.8101 Å, c = 5.5404 Å
α = 90.00°, β = 117.50°, γ = 90.00°
Space group C2/c (No. 15)
Symmetry-distinct sites (fractional):
H 0.2172 0.1140 0.3332 (multiplicity 8)
Pd 0.1218 0.4639 0.4965 (multiplicity 8)
Pd 0.1248 0.0377 0.9961 (multiplicity 8)
Pd 0.2501 0.2098 0.7522 (multiplicity 8)
Au 0.0000 0.2123 0.2500 (multiplicity 4)
Au 0.0000 0.2891 0.7500 (multiplicity 4)

(6)
This record from Alexandria via LeMat-Bulk describes HPd3Au after structural relaxation. The functional is PBE.

* energy above the lowest structure with this stoichiometry: 0.4519 eV/atom

a = 5.4566 Å, b = 13.4174 Å, c = 5.0481 Å
α = 90.00°, β = 90.00°, γ = 90.00°
Space group Cmcm (No. 63)
Symmetry-distinct sites (fractional):
H 0.0000 0.0789 0.2500 (multiplicity 4)
Pd 0.0000 0.5000 0.0000 (multiplicity 4)
Pd 0.2459 0.3481 0.7500 (multiplicity 8)
Au 0.0000 0.3232 0.2500 (multiplicity 4)

(7)
This record from Alexandria via LeMat-Bulk describes HPd8Au6 after structural relaxation. The functional is PBE.

* electronic total energy: -4.3690 eV per atom

a = 7.5417 Å, b = 7.5417 Å, c = 4.7428 Å
α = 90.00°, β = 90.00°, γ = 120.00°
Space group P-3 (No. 147)
Symmetry-distinct sites (fractional):
H 0.0000 0.0000 0.0000 (multiplicity 1)
Pd 0.0481 0.2372 0.2507 (multiplicity 6)
Pd 0.3333 0.6667 0.2497 (multiplicity 2)
Au 0.0936 0.4722 0.7490 (multiplicity 6)

(8)
This record from Alexandria via LeMat-Bulk describes H4Pd5Au2 after structural relaxation. The functional is PBE.

* electronic total energy: -4.1533 eV per atom

a = 5.8235 Å, b = 9.2031 Å, c = 4.9971 Å
α = 90.00°, β = 96.29°, γ = 90.00°
Space group C2/m (No. 12)
Symmetry-distinct sites (fractional):
H 0.1372 0.1319 0.2393 (multiplicity 8)
Pd 0.0000 0.0000 0.0000 (multiplicity 2)
Pd 0.0000 0.2116 0.5000 (multiplicity 4)
Pd 0.2500 0.2500 0.0000 (multiplicity 4)
Au 0.1087 0.5000 0.2726 (multiplicity 4)

(9)
This record from Alexandria via LeMat-Bulk describes HPd3Au after structural relaxation. The functional is PBE.

* energy above the lowest structure with this stoichiometry: 1.5602 eV/atom

a = 5.0386 Å, b = 5.0386 Å, c = 5.0386 Å
α = 90.00°, β = 90.00°, γ = 90.00°
Space group Pm-3m (No. 221)
Symmetry-distinct sites (fractional):
H 0.0000 0.0000 0.0000 (multiplicity 1)
Pd 0.0000 0.5000 0.5000 (multiplicity 3)
Au 0.5000 0.5000 0.5000 (multiplicity 1)

(10)
This record from Alexandria via LeMat-Bulk describes HPd3Au after structural relaxation. The functional is PBE.

* energy above the lowest structure with this stoichiometry: 0.0192 eV/atom

a = 5.0351 Å, b = 5.6728 Å, c = 5.0418 Å
α = 90.00°, β = 111.74°, γ = 90.00°
Space group P2_1/m (No. 11)
Symmetry-distinct sites (fractional):
H 0.0858 0.2500 0.4969 (multiplicity 2)
Pd 0.2489 0.5009 0.7506 (multiplicity 4)
Pd 0.2554 0.2500 0.2430 (multiplicity 2)
Au 0.2560 0.7500 0.2447 (multiplicity 2)

(11)
This record from Alexandria via LeMat-Bulk describes H3Pd4Au2 after structural relaxation. The functional is PBE.

* energy above the lowest structure with this stoichiometry: 0.0000 eV/atom

a = 4.8664 Å, b = 8.4744 Å, c = 10.5946 Å
α = 90.00°, β = 90.00°, γ = 90.00°
Space group Fmmm (No. 69)
Symmetry-distinct sites (fractional):
H 0.0000 0.0000 0.0000 (multiplicity 4)
H 0.2500 0.2500 0.0000 (multiplicity 8)
Pd 0.0000 0.1671 0.1283 (multiplicity 16)
Au 0.0000 0.0000 0.3573 (multiplicity 8)

(12)
This record from Alexandria via LeMat-Bulk describes HPd3Au after structural relaxation. The functional is PBE.

* energy above the lowest structure with this stoichiometry: 0.1971 eV/atom

a = 10.6222 Å, b = 10.6222 Å, c = 10.6222 Å
α = 90.00°, β = 90.00°, γ = 90.00°
Space group Fd-3m (No. 227, origin choice 2)
Symmetry-distinct sites (fractional):
H 0.0000 0.0000 0.0000 (multiplicity 16)
Pd 0.0629 0.3750 0.3750 (multiplicity 48)
Au 0.0000 0.0000 0.5000 (multiplicity 16)